<i>
A relaxed CrCuCl2 crystal, computed with PBE-GGA.

Unit cell a=3.4976 b=3.4976 c=7.7274 alpha=90.00 beta=90.00 gamma=114.20
Last column: nearest neighbours and their distance in Å.
Sites, in units of the cell vectors:
Cr 0.0000 0.0000 0.5206  2 Cl 2.38, 2 Cu 2.59
Cu 0.5000 0.5000 0.7478  2 Cl 2.22
Cl 0.0000 0.0000 0.8969  2 Cu 2.22
Cl 0.5000 0.5000 0.3348  2 Cr 2.38

Values from the calculation:
Density in g/cm3: 3.6
Size of the total moment in μB/f.u.: 4.10


<ii>
A relaxed CrCuCl2 crystal, computed with PBE-GGA.

Unit cell a=4.5633 b=4.5633 c=3.3251 alpha=90.00 beta=90.00 gamma=90.03
Last column: nearest neighbours and their distance in Å.
Sites, in units of the cell vectors:
Cr 0.5000 0.0000 0.5000  8 Cl 2.82
Cu 0.0000 0.5000 0.5000  8 Cl 2.82
Cl 0.0000 0.0000 0.0000  4 Cr 2.82, 4 Cu 2.82
Cl 0.5000 0.5000 0.0000  4 Cu 2.82, 4 Cr 2.82

Values from the calculation:
Density in g/cm3: 4.5
Size of the total moment in μB/f.u.: 4.69


Which of them is the most stable, and which is the least stable? <i> and <ii>, in that order.


<i>
A relaxed Cr2CuCl crystal, computed with PBE-GGA.

Unit cell a=5.9608 b=5.9608 c=5.9608 alpha=144.45 beta=144.45 gamma=51.15
Last column: nearest neighbours and their distance in Å.
Sites, in units of the cell vectors:
Cr 0.0000 0.0000 0.0000  4 Cu 2.57
Cr 0.2500 0.7500 0.5000  4 Cl 2.57
Cu 0.5000 0.5000 0.0000  4 Cr 2.57
Cl 0.7500 0.2500 0.5000  4 Cr 2.57

Values from the calculation:
Density in g/cm3: 4.7
Size of the total moment in μB/f.u.: 8.87


<ii>
A relaxed Cr2CuCl crystal, computed with PBE-GGA.

Unit cell a=6.3424 b=6.3424 c=4.2179 alpha=89.89 beta=89.89 gamma=27.63
Last column: nearest neighbours and their distance in Å.
Sites, in units of the cell vectors:
Cr 0.9945 0.9945 0.9950  2 Cr 2.45, 4 Cu 2.65, 2 Cl 2.68
Cr 0.6512 0.6512 0.9940  2 Cr 2.45, 2 Cu 2.52, 2 Cl 2.53
Cu 0.5389 0.5389 0.4950  6 Cr 2.52-2.65
Cl 0.3154 0.3154 0.0160  4 Cr 2.53-2.68

Values from the calculation:
Density in g/cm3: 4.3
Size of the total moment in μB/f.u.: 0.02


Which of them is the most stable, and which is the least stable? <ii> and <i>, in that order.


<i>
A relaxed Cr2CuCl crystal, computed with PBE-GGA.

Unit cell a=4.4617 b=4.4617 c=4.4617 alpha=60.00 beta=60.00 gamma=60.00
Last column: nearest neighbours and their distance in Å.
Sites, in units of the cell vectors:
Cr 0.0000 0.0000 0.0000  4 Cr 2.73, 4 Cu 2.73
Cr 0.7500 0.7500 0.7500  4 Cl 2.73, 4 Cr 2.73
Cu 0.2500 0.2500 0.2500  4 Cr 2.73, 4 Cl 2.73
Cl 0.5000 0.5000 0.5000  4 Cu 2.73, 4 Cr 2.73

Values from the calculation:
Density in g/cm3: 5.4
Size of the total moment in μB/f.u.: 0.35


<ii>
A relaxed Cr2CuCl crystal, computed with PBE-GGA.

Unit cell a=3.1749 b=3.1749 c=7.7576 alpha=78.14 beta=78.14 gamma=59.89
Last column: nearest neighbours and their distance in Å.
Sites, in units of the cell vectors:
Cr 0.0018 0.0018 0.9934  3 Cu 2.59, 3 Cl 2.66-2.67
Cr 0.4982 0.4982 0.5066  3 Cu 2.59, 3 Cl 2.66-2.67
Cu 0.7500 0.7500 0.7500  6 Cr 2.59
Cl 0.2500 0.2500 0.2500  6 Cr 2.66-2.67

Values from the calculation:
Density in g/cm3: 5.1
Size of the total moment in μB/f.u.: 8.07


<iii>
A relaxed Cr2CuCl crystal, computed with PBE-GGA.

Unit cell a=2.8113 b=3.6752 c=6.1504 alpha=90.04 beta=90.00 gamma=90.00
Last column: nearest neighbours and their distance in Å.
Sites, in units of the cell vectors:
Cr 0.0000 0.7498 0.0817  1 Cr 2.07
Cr 0.0000 0.7502 0.4183  1 Cr 2.07
Cu 0.5000 0.2500 0.2500  8 Cr 2.53, 2 Cu 2.81
Cl 0.5000 0.7500 0.7500  4 Cr 2.48

Values from the calculation:
Density in g/cm3: 5.3
Size of the total moment in μB/f.u.: 0.00


Which of them is the most stable, and which is the least stable? <ii> and <i>, in that order.


<i>
A relaxed CrCu2Cl2 crystal, computed with PBE-GGA.

Unit cell a=3.2822 b=3.2822 c=9.8858 alpha=80.44 beta=80.44 gamma=90.00
Last column: nearest neighbours and their distance in Å.
Sites, in units of the cell vectors:
Cr 0.0000 0.0000 0.0000  8 Cl 2.76
Cu 0.7500 0.2500 0.5000  4 Cu 2.32
Cu 0.2500 0.7500 0.5000  4 Cu 2.32
Cl 0.4221 0.4221 0.1558  4 Cr 2.76, 1 Cl 2.99
Cl 0.5779 0.5779 0.8442  4 Cr 2.76, 1 Cl 2.99

Values from the calculation:
Density in g/cm3: 4.0
Size of the total moment in μB/f.u.: 4.16


<ii>
A relaxed CrCu2Cl2 crystal, computed with PBE-GGA.

Unit cell a=6.4911 b=6.4911 c=4.5247 alpha=90.00 beta=90.00 gamma=90.00
Last column: nearest neighbours and their distance in Å.
Sites, in units of the cell vectors:
Cr 0.0000 0.0000 0.0000  4 Cl 2.40
Cr 0.5000 0.5000 0.0000  4 Cl 2.40
Cu 0.2761 0.7761 0.5000  2 Cl 2.31
Cu 0.7761 0.7239 0.5000  2 Cl 2.31
Cu 0.7239 0.2239 0.5000  2 Cl 2.31
Cu 0.2239 0.2761 0.5000  2 Cl 2.31
Cl 0.3266 0.8266 0.0000  2 Cu 2.31, 2 Cr 2.40
Cl 0.8266 0.6734 0.0000  2 Cu 2.31, 2 Cr 2.40
Cl 0.6734 0.1734 0.0000  2 Cu 2.31, 2 Cr 2.40
Cl 0.1734 0.3266 0.0000  2 Cu 2.31, 2 Cr 2.40

Values from the calculation:
Density in g/cm3: 4.4
Size of the total moment in μB/f.u.: 3.83


Which of them is the most stable, and which is the least stable? <i> and <ii>, in that order.


<i>
A relaxed CrCuP2Cl crystal, computed with PBE-GGA.

Unit cell a=4.3823 b=4.3823 c=4.9826 alpha=90.00 beta=90.00 gamma=90.00
Last column: nearest neighbours and their distance in Å.
Sites, in units of the cell vectors:
Cr 0.0000 0.0000 0.0000  4 P 2.19
P 0.0000 0.5000 0.0000  2 Cr 2.19
P 0.5000 0.0000 0.0000  2 Cr 2.19
Cu 0.5000 0.5000 0.5000  4 Cl 3.10, 8 P 3.32
Cl 0.0000 0.0000 0.5000  2 Cr 2.49

Values from the calculation:
Density in g/cm3: 3.7
Size of the total moment in μB/f.u.: 1.27


<ii>
A relaxed CrCuP2Cl crystal, computed with PBE-GGA.

Unit cell a=4.4195 b=4.4195 c=4.7284 alpha=90.00 beta=90.00 gamma=90.00
Last column: nearest neighbours and their distance in Å.
Sites, in units of the cell vectors:
Cr 0.5000 0.5000 0.5000  4 Cl 3.13, 8 P 3.24
P 0.0000 0.5000 0.0000  2 Cu 2.21
P 0.5000 0.0000 0.0000  2 Cu 2.21
Cu 0.0000 0.0000 0.0000  4 P 2.21, 2 Cl 2.36
Cl 0.0000 0.0000 0.5000  2 Cu 2.36

Values from the calculation:
Density in g/cm3: 3.8
Size of the total moment in μB/f.u.: 0.06


Which of them is the most stable, and which is the least stable? <i> and <ii>, in that order.


<i>
A relaxed CrCuSCl2 crystal, computed with PBE-GGA.

Unit cell a=4.7424 b=4.7424 c=4.6370 alpha=90.00 beta=90.00 gamma=90.00
Last column: nearest neighbours and their distance in Å.
Sites, in units of the cell vectors:
Cr 0.0000 0.0000 0.0000  2 S 2.32, 4 Cl 2.37
S 0.0000 0.0000 0.5000  2 Cr 2.32
Cu 0.5000 0.5000 0.5000  8 Cl 3.32, 4 S 3.35
Cl 0.0000 0.5000 0.0000  2 Cr 2.37
Cl 0.5000 0.0000 0.0000  2 Cr 2.37

Values from the calculation:
Density in g/cm3: 3.5
Size of the total moment in μB/f.u.: 2.99


<ii>
A relaxed CrCuSCl2 crystal, computed with PBE-GGA.

Unit cell a=4.5588 b=4.5588 c=4.8581 alpha=90.00 beta=90.00 gamma=90.00
Last column: nearest neighbours and their distance in Å.
Sites, in units of the cell vectors:
Cr 0.5000 0.5000 0.5000  4 S 3.22, 8 Cl 3.33
S 0.0000 0.0000 0.5000  2 Cu 2.43
Cu 0.0000 0.0000 0.0000  4 Cl 2.28, 2 S 2.43
Cl 0.0000 0.5000 0.0000  2 Cu 2.28
Cl 0.5000 0.0000 0.0000  2 Cu 2.28

Values from the calculation:
Density in g/cm3: 3.6
Size of the total moment in μB/f.u.: 4.10


Which of them is the most stable, and which is the least stable? <i> and <ii>, in that order.


<i>
A relaxed CrCuTcCl2 crystal, computed with PBE-GGA.

Unit cell a=4.5475 b=4.6776 c=4.5475 alpha=90.00 beta=90.00 gamma=90.00
Last column: nearest neighbours and their distance in Å.
Sites, in units of the cell vectors:
Cr 0.0000 0.0000 0.0000  4 Cl 2.27, 2 Tc 2.34
Tc 0.0000 0.5000 0.0000  2 Cr 2.34
Cu 0.5000 0.5000 0.5000  4 Tc 3.22, 8 Cl 3.26
Cl 0.0000 0.0000 0.5000  2 Cr 2.27
Cl 0.5000 0.0000 0.0000  2 Cr 2.27

Values from the calculation:
Density in g/cm3: 4.9
Size of the total moment in μB/f.u.: 3.37


<ii>
A relaxed CrCuTcCl2 crystal, computed with PBE-GGA.

Unit cell a=4.3181 b=5.2321 c=4.3181 alpha=90.00 beta=90.00 gamma=90.00
Last column: nearest neighbours and their distance in Å.
Sites, in units of the cell vectors:
Cr 0.5000 0.5000 0.5000  4 Tc 3.05, 8 Cl 3.39
Tc 0.0000 0.5000 0.0000  2 Cu 2.62
Cu 0.0000 0.0000 0.0000  4 Cl 2.16
Cl 0.0000 0.0000 0.5000  2 Cu 2.16
Cl 0.5000 0.0000 0.0000  2 Cu 2.16

Values from the calculation:
Density in g/cm3: 4.8
Size of the total moment in μB/f.u.: 2.01


Which of them is the most stable, and which is the least stable? <i> and <ii>, in that order.